Entry 1:
CdGeS2: relaxed, PBE.

Structure (POSCAR):
```
CdGeS2
1.0
3.946 0.000 0.000
-1.973 3.417 0.000
0.000 0.000 22.550
Cd Ge S
3 3 6
Direct
0.000 0.000 0.000
0.333 0.667 0.667
0.667 0.333 0.333
0.000 0.000 0.500
0.333 0.667 0.167
0.667 0.333 0.833
0.000 0.000 0.396
0.000 0.000 0.604
0.333 0.667 0.063
0.333 0.667 0.270
0.667 0.333 0.730
0.667 0.333 0.937
```

**SG**: No. 166
**Crystal system**: trigonal

***

Entry 2:
Ni3AgSb: relaxed, PBE.

Structure (POSCAR):
```
Ni3AgSb
1.0
4.639 0.000 0.000
0.000 4.639 0.000
0.000 0.000 4.639
Ni Ag Sb
3 1 1
Direct
0.000 0.000 0.500
0.000 0.500 0.000
0.500 0.000 0.000
0.500 0.500 0.500
0.000 0.000 0.000
```

**SG**: No. 221
**Energy relative to the lowest polymorph listed for this composition**: 0 meV per atom
**Crystal system**: cubic

***

Entry 3:
Sb2Pb2Au: relaxed, PBE.

Structure (POSCAR):
```
Sb2Pb2Au
1.0
7.163 0.000 0.000
0.000 7.163 0.000
0.000 0.000 5.858
Sb Pb Au
4 4 2
Direct
0.143 0.357 0.000
0.357 0.857 0.000
0.643 0.143 0.000
0.857 0.643 0.000
0.221 0.721 0.500
0.279 0.221 0.500
0.721 0.779 0.500
0.779 0.279 0.500
0.000 0.000 0.000
0.500 0.500 0.000
```

**SG**: No. 127
**Energy relative to the lowest polymorph listed for this composition**: 32 meV per atom
**Crystal system**: tetragonal

***

Entry 4:
BaCeCuS4: relaxed, PBE.

Structure (POSCAR):
```
BaCeCuS4
1.0
6.889 0.000 0.000
0.000 5.650 0.000
-2.525 0.000 8.367
Ba Ce Cu S
2 2 2 8
Direct
0.237 0.250 0.439
0.763 0.750 0.561
0.231 0.250 0.940
0.769 0.750 0.060
0.256 0.750 0.179
0.744 0.250 0.821
0.057 0.750 0.348
0.079 0.750 0.916
0.486 0.516 0.780
0.486 0.984 0.780
0.514 0.016 0.220
0.514 0.484 0.220
0.921 0.250 0.084
0.943 0.250 0.652
```

**SG**: No. 11
**Crystal system**: monoclinic

***

Number 1: total moment 0.0 μB per formula unit, formation energy (no corrections) 0.07 eV/atom. Number 2: total moment 0.0 μB per formula unit, formation energy (no corrections) 0.83 eV/atom. Number 3: total moment 0.0 μB per formula unit, formation energy (no corrections) 0.05 eV/atom. Number 4: total moment 0.3 μB per formula unit, formation energy (no corrections) -1.45 eV/atom.